1.
# PBE Mg4SiRu, relaxed
data_Mg4SiRu
_space_group_name_H-M_alt 'F -4 3 m'
_space_group_IT_number 216
_space_group_name_Hall 'F -4 2 3'
_cell_length_a 7.568
_cell_length_b 7.568
_cell_length_c 7.568
_cell_angle_alpha 90.00
_cell_angle_beta 90.00
_cell_angle_gamma 90.00
loop_
_atom_site_label
_atom_site_fract_x
_atom_site_fract_y
_atom_site_fract_z
Mg1 0.125 0.125 0.125
Si1 0.000 0.000 0.500
Ru1 0.250 0.250 0.750
# Density of states at the Fermi level, states/eV/f.u.: 3.6
# M_tot, μB per formula unit: 0.0
# Crystal system: cubic
# Formation energy (no corrections), eV per atom: 0.45

***

2.
# PBE Mg2SiRu, relaxed
data_Mg2SiRu
_space_group_name_H-M_alt 'P 4/m m m'
_space_group_IT_number 123
_space_group_name_Hall '-P 4 2'
_cell_length_a 2.848
_cell_length_b 2.848
_cell_length_c 8.185
_cell_angle_alpha 90.00
_cell_angle_beta 90.00
_cell_angle_gamma 90.00
loop_
_atom_site_label
_atom_site_fract_x
_atom_site_fract_y
_atom_site_fract_z
Mg1 0.000 0.000 0.237
Si1 0.500 0.500 0.500
Ru1 0.500 0.500 0.000
# Density of states at the Fermi level, states/eV/f.u.: 3.4
# M_tot, μB per formula unit: 1.0
# Crystal system: tetragonal
# Formation energy (no corrections), eV per atom: 0.14

***

3.
# PBE Mg2SiRu, relaxed
data_Mg2SiRu
_space_group_name_H-M_alt 'I 41/a m d'
_space_group_IT_number 141
_cell_length_a 9.976
_cell_length_b 9.976
_cell_length_c 4.492
_cell_angle_alpha 90.00
_cell_angle_beta 90.00
_cell_angle_gamma 90.00
loop_
_space_group_symop_operation_xyz
'x,y,z'
'-x,-y,-z'
'-y+1/4,x+3/4,z+1/4'
'y+1/4,-x+3/4,-z+1/4'
'-x+1/2,-y,z+1/2'
'x+1/2,y,-z+1/2'
'y+1/4,-x+1/4,z+3/4'
'-y+1/4,x+1/4,-z+3/4'
'x,-y,-z'
'-x,y,z'
'-y+1/4,-x+1/4,-z+3/4'
'y+1/4,x+1/4,z+3/4'
'-x+1/2,y,-z+1/2'
'x+1/2,-y,z+1/2'
'y+1/4,x+3/4,-z+1/4'
'-y+1/4,-x+3/4,z+1/4'
'x+1/2,y+1/2,z+1/2'
'-x+1/2,-y+1/2,-z+1/2'
'-y+3/4,x+1/4,z+3/4'
'y+3/4,-x+1/4,-z+3/4'
'-x,-y+1/2,z'
'x,y+1/2,-z'
'y+3/4,-x+3/4,z+1/4'
'-y+3/4,x+3/4,-z+1/4'
'x+1/2,-y+1/2,-z+1/2'
'-x+1/2,y+1/2,z+1/2'
'-y+3/4,-x+3/4,-z+1/4'
'y+3/4,x+3/4,z+1/4'
'-x,y+1/2,-z'
'x,-y+1/2,z'
'y+3/4,x+1/4,-z+3/4'
'-y+3/4,-x+1/4,z+3/4'
loop_
_atom_site_label
_atom_site_fract_x
_atom_site_fract_y
_atom_site_fract_z
Mg1 0.000 0.000 0.000
Si1 0.000 0.250 0.375
Ru1 0.000 0.250 0.875
# Density of states at the Fermi level, states/eV/f.u.: 2.2
# M_tot, μB per formula unit: 0.0
# Crystal system: tetragonal
# Formation energy (no corrections), eV per atom: 0.20

***

4.
# PBE Mg2Si2SnRu5, relaxed
data_Mg2Si2SnRu5
_space_group_name_H-M_alt 'P 4/m b m'
_space_group_IT_number 127
_space_group_name_Hall '-P 4 2ab'
_cell_length_a 9.901
_cell_length_b 9.901
_cell_length_c 3.190
_cell_angle_alpha 90.00
_cell_angle_beta 90.00
_cell_angle_gamma 90.00
loop_
_atom_site_label
_atom_site_fract_x
_atom_site_fract_y
_atom_site_fract_z
Mg1 0.172 0.328 0.000
Si1 0.128 0.628 0.000
Sn1 0.000 0.000 0.000
Ru1 0.000 0.500 0.500
Ru2 0.071 0.792 0.500
# Density of states at the Fermi level, states/eV/f.u.: 11.8
# M_tot, μB per formula unit: 0.0
# Crystal system: tetragonal
# Formation energy (no corrections), eV per atom: -0.30